1.
Below is crystalline CaNiPCl2 at its relaxed geometry, with properties calculated at the GGA-PBE level.

Cell lengths 4.704, 4.704, 4.593 Å; angles 90.00, 90.00, 90.00 degrees
Space group P4/mmm (No. 123)
Symmetry-distinct sites (fractional):
Ca1 0.000 0.000 0.000 (multiplicity 1)
Ni1 0.500 0.500 0.500 (multiplicity 1)
P1 0.500 0.500 0.000 (multiplicity 1)
Cl1 0.000 0.500 0.500 (multiplicity 2)

Properties
Calculated density in g/cm3: 3.279
Magnetic moment in μB/atom: 0.158
Excess energy over the best structure of this formula in the dataset in meV/atom: 0
Final energy in eV per atom: -4.02
Energy relative to the elements, uncorrected in meV/atom: -643

***

2.
Below is crystalline RbCa2NiCl8 at its relaxed geometry, with properties calculated at the GGA-PBE level.

Cell lengths 6.210, 6.469, 8.505 Å; angles 89.94, 89.92, 87.07 degrees
Space group P-1 (No. 2)
Symmetry-distinct sites (fractional):
Rb1 0.000 0.000 0.000 (multiplicity 1)
Ca1 0.500 0.500 0.265 (multiplicity 2)
Ni1 0.000 0.000 0.500 (multiplicity 1)
Cl1 0.217 0.856 0.684 (multiplicity 2)
Cl2 0.218 0.857 0.316 (multiplicity 2)
Cl3 0.251 0.329 0.500 (multiplicity 2)
Cl4 0.275 0.390 0.000 (multiplicity 2)

Properties
Calculated density in g/cm3: 2.472
Magnetic moment in μB/atom: 0.087
Final energy in eV per atom: -3.70
Energy relative to the elements, uncorrected in meV/atom: -1577